Record 1
Ni3SnS4 | OQMD | PBE | optimized geometry; SG = I-42m; calculated total energy = -4.986 eV/atom; M_tot = 0.00 μB per cell
1.0
-2.6426 2.6426 5.2031
2.6426 -2.6426 5.2031
2.6426 2.6426 -5.2031
Ni Sn S
3 1 4
Direct
0.0000 0.0000 0.0000
0.2500 0.7500 0.5000
0.7500 0.2500 0.5000
0.5000 0.5000 0.0000
0.0827 0.0827 0.4437
0.3610 0.9173 0.0000
0.6390 0.6390 0.5563
0.9173 0.3610 0.0000



Record 2
NiSn2S5 | OQMD | PBE | optimized geometry; SG = Cmcm; calculated total energy = -4.559 eV/atom; M_tot = 0.01 μB per cell
1.0
1.8965 -6.2371 0.0000
1.8965 6.2371 0.0000
0.0000 0.0000 17.1122
Ni Sn S
2 4 10
Direct
0.1241 0.8759 0.7500
0.8759 0.1241 0.2500
0.2892 0.7108 0.0859
0.2892 0.7108 0.4141
0.7108 0.2892 0.5859
0.7108 0.2892 0.9141
0.0810 0.9190 0.6267
0.0810 0.9190 0.8733
0.2898 0.7102 0.2500
0.3520 0.6480 0.5580
0.3520 0.6480 0.9420
0.6480 0.3520 0.0580
0.6480 0.3520 0.4420
0.7102 0.2898 0.7500
0.9190 0.0810 0.1267
0.9190 0.0810 0.3733



Record 3
Ta2NiS5 | OQMD | PBE | optimized geometry; SG = C2/c; calculated total energy = -7.174 eV/atom; M_tot = 0.01 μB per cell
1.0
1.7089 -6.4698 0.0000
1.7089 6.4698 0.0000
-0.0794 0.0000 15.1796
Ta Ni S
4 2 10
Direct
0.2172 0.7713 0.6081
0.2287 0.7828 0.8919
0.7713 0.2172 0.1081
0.7828 0.2287 0.3919
0.2996 0.7004 0.2500
0.7004 0.2996 0.7500
0.1496 0.8430 0.4502
0.1570 0.8504 0.0498
0.3145 0.6855 0.7500
0.4040 0.5893 0.3641
0.4107 0.5960 0.1359
0.5893 0.4040 0.8641
0.5960 0.4107 0.6359
0.6855 0.3145 0.2500
0.8430 0.1496 0.9502
0.8504 0.1570 0.5498



Record 4
Tb2NiS5 | OQMD | PBE | optimized geometry; SG = Cmcm; calculated total energy = -5.588 eV/atom; M_tot = 0.01 μB per cell
1.0
1.9891 -4.7406 0.0000
1.9891 4.7406 0.0000
0.0000 0.0000 18.5494
Tb Ni S
4 2 10
Direct
0.1597 0.8403 0.5850
0.1597 0.8403 0.9150
0.8403 0.1597 0.0850
0.8403 0.1597 0.4150
0.2869 0.7131 0.2500
0.7131 0.2869 0.7500
0.1399 0.8601 0.0603
0.1399 0.8601 0.4397
0.3001 0.6999 0.7500
0.4485 0.5515 0.1682
0.4485 0.5515 0.3318
0.5515 0.4485 0.6682
0.5515 0.4485 0.8318
0.6999 0.3001 0.2500
0.8601 0.1399 0.5603
0.8601 0.1399 0.9397



Record 5
NiTe3S6 | OQMD | PBE | optimized geometry; SG = R-3; calculated total energy = -3.850 eV/atom; M_tot = 0.00 μB per cell
1.0
3.3196 1.9166 5.9544
-3.3196 1.9166 5.9544
0.0000 -3.8332 5.9544
Ni Te S
1 3 6
Direct
0.0000 0.0000 0.0000
0.1789 0.1789 0.1789
0.5000 0.5000 0.5000
0.8211 0.8211 0.8211
0.0854 0.7743 0.3694
0.2257 0.6306 0.9146
0.3694 0.0854 0.7743
0.6306 0.9146 0.2257
0.7743 0.3694 0.0854
0.9146 0.2257 0.6306



Record 6
NiTe2S5 | OQMD | PBE | optimized geometry; SG = Cmcm; calculated total energy = -3.974 eV/atom; M_tot = 3.50 μB per cell
1.0
1.9069 -6.0423 0.0000
1.9069 6.0423 0.0000
0.0000 0.0000 17.6151
Ni Te S
2 4 10
Direct
0.1964 0.8036 0.7500
0.8036 0.1964 0.2500
0.2805 0.7195 0.0914
0.2805 0.7195 0.4086
0.7195 0.2805 0.5914
0.7195 0.2805 0.9086
0.0902 0.9098 0.6424
0.0902 0.9098 0.8576
0.2114 0.7886 0.2500
0.3667 0.6333 0.5376
0.3667 0.6333 0.9624
0.6333 0.3667 0.0376
0.6333 0.3667 0.4624
0.7886 0.2114 0.7500
0.9098 0.0902 0.1424
0.9098 0.0902 0.3576



Record 7
Tl2NiS3 | OQMD | PBE | optimized geometry; SG = P2_1/m; energy relative to the lowest polymorph listed for this composition = 0.0 kJ/mol of atoms; M_tot = 0.02 μB per cell
1.0
7.3798 0.0000 0.0000
0.0000 3.6738 0.0000
-0.7540 0.0000 9.4355
Tl Ni S
4 2 6
Direct
0.0735 0.2500 0.1494
0.2536 0.7500 0.4895
0.7464 0.2500 0.5105
0.9265 0.7500 0.8506
0.4261 0.2500 0.8474
0.5739 0.7500 0.1526
0.1490 0.2500 0.7027
0.3430 0.7500 0.9780
0.4571 0.2500 0.2771
0.5429 0.7500 0.7229
0.6570 0.2500 0.0220
0.8510 0.7500 0.2973



Record 8
Tl2NiS3 | OQMD | PBE | optimized geometry; SG = P-1; energy relative to the lowest polymorph listed for this composition = 1.0 kJ/mol of atoms; M_tot = 0.02 μB per cell
1.0
6.1114 0.0000 0.0000
2.8966 6.4137 0.0000
2.9186 0.8427 7.3010
Tl Ni S
4 2 6
Direct
0.0935 0.2021 0.1056
0.3305 0.5549 0.3095
0.6695 0.4451 0.6905
0.9065 0.7979 0.8944
0.3775 0.0584 0.6718
0.6225 0.9416 0.3282
0.1821 0.3900 0.7053
0.2473 0.9732 0.4958
0.3927 0.8193 0.9067
0.6073 0.1807 0.0933
0.7527 0.0268 0.5042
0.8179 0.6100 0.2947



Record 9
Tl2Ni2S5 | OQMD | PBE | optimized geometry; SG = C2/c; calculated total energy = -4.234 eV/atom; M_tot = 0.00 μB per cell
1.0
5.1354 -3.4296 0.0000
5.1354 3.4296 0.0000
-3.9652 0.0000 10.5066
Tl Ni S
4 4 10
Direct
0.0505 0.3512 0.3126
0.3512 0.0505 0.8126
0.6488 0.9495 0.1874
0.9495 0.6488 0.6874
0.2257 0.6057 0.0600
0.3943 0.7743 0.4400
0.6057 0.2257 0.5600
0.7743 0.3943 0.9400
0.1515 0.2675 0.0431
0.1662 0.8338 0.2500
0.2675 0.1515 0.5431
0.3718 0.5406 0.8893
0.4594 0.6282 0.6107
0.5406 0.3718 0.3893
0.6282 0.4594 0.1107
0.7325 0.8485 0.4569
0.8338 0.1662 0.7500
0.8485 0.7325 0.9569



Record 10
Tl3NiS | OQMD | PBE | optimized geometry; SG = P-6c2; calculated total energy = -3.222 eV/atom; M_tot = 0.01 μB per cell
1.0
6.4639 0.0000 0.0000
-3.2319 5.5979 0.0000
0.0000 0.0000 6.9130
Tl Ni S
6 2 2
Direct
0.0362 0.3440 0.2500
0.0362 0.6922 0.7500
0.3078 0.3440 0.7500
0.3078 0.9638 0.2500
0.6560 0.6922 0.2500
0.6560 0.9638 0.7500
0.0000 0.0000 0.0000
0.0000 0.0000 0.5000
0.6667 0.3333 0.0000
0.6667 0.3333 0.5000



Record 11
TmTlNiS3 | OQMD | PBE | optimized geometry; SG = Pnma; calculated total energy = -5.109 eV/atom; M_tot = 0.63 μB per cell
1.0
11.0700 0.0000 0.0000
0.0000 4.0419 0.0000
0.0000 0.0000 11.5624
Tm Tl Ni S
4 4 4 12
Direct
0.0094 0.2500 0.1681
0.4906 0.7500 0.6681
0.5094 0.2500 0.3319
0.9906 0.7500 0.8319
0.1717 0.2500 0.5162
0.3283 0.7500 0.0162
0.6717 0.2500 0.9838
0.8283 0.7500 0.4838
0.2406 0.7500 0.3156
0.2594 0.2500 0.8156
0.7406 0.7500 0.1844
0.7594 0.2500 0.6844
0.0413 0.7500 0.3187
0.1066 0.2500 0.9471
0.2360 0.7500 0.7377
0.2640 0.2500 0.2377
0.3934 0.7500 0.4471
0.4587 0.2500 0.8187
0.5413 0.7500 0.1813
0.6066 0.2500 0.5529
0.7360 0.7500 0.7623
0.7640 0.2500 0.2623
0.8934 0.7500 0.0529
0.9587 0.2500 0.6813



Record 12
TmTlNiS3 | OQMD | PBE | optimized geometry; SG = P2_1/m; calculated total energy = -5.176 eV/atom; M_tot = 2.42 μB per cell
1.0
8.7456 0.0000 0.0000
0.0000 3.8564 0.0000
-2.9182 0.0000 8.7022
Tm Tl Ni S
2 2 2 6
Direct
0.1721 0.2500 0.1433
0.8279 0.7500 0.8567
0.2947 0.7500 0.7745
0.7053 0.2500 0.2255
0.4212 0.7500 0.4033
0.5788 0.2500 0.5967
0.0376 0.2500 0.8397
0.3196 0.2500 0.4602
0.3867 0.7500 0.1457
0.6133 0.2500 0.8543
0.6804 0.7500 0.5398
0.9624 0.7500 0.1603



Record 13
Y3Tm4Ni2S2 | OQMD | PBE | optimized geometry; SG = Imm2; calculated total energy = -6.015 eV/atom; M_tot = 0.01 μB per cell
1.0
-1.8675 7.2973 4.5131
1.8675 -7.2973 4.5131
1.8675 7.2973 -4.5131
Y Tm Ni S
3 4 2 2
Direct
0.0000 0.0000 0.0000
0.6115 0.2481 0.3633
0.8848 0.2481 0.6367
0.2857 0.4066 0.8791
0.2957 0.6138 0.6819
0.5275 0.4066 0.1209
0.9319 0.6138 0.3181
0.1622 0.9214 0.2408
0.6805 0.9214 0.7592
0.2529 0.7529 0.5000
0.6530 0.6530 0.0000



Record 14
YTm6Ni2S2 | OQMD | PBE | optimized geometry; SG = Imm2; calculated total energy = -5.660 eV/atom; M_tot = 0.00 μB per cell
1.0
-1.8673 7.3204 4.5384
1.8673 -7.3204 4.5384
1.8673 7.3204 -4.5384
Y Tm Ni S
1 6 2 2
Direct
0.0000 0.0000 0.0000
0.2837 0.4042 0.8795
0.2968 0.6117 0.6851
0.5246 0.4042 0.1205
0.6126 0.2483 0.3642
0.8841 0.2483 0.6358
0.9265 0.6117 0.3149
0.1545 0.9141 0.2404
0.6737 0.9141 0.7596
0.2509 0.7509 0.5000
0.6537 0.6537 0.0000



Record 15
U8NiS17 | OQMD | PBE | optimized geometry; SG = C2/m; calculated total energy = -7.726 eV/atom; M_tot = 14.41 μB per cell
1.0
6.5781 -4.1237 0.0000
6.5781 4.1237 0.0000
-2.1169 0.0000 10.0422
U Ni S
8 1 17
Direct
0.1805 0.6963 0.7968
0.2022 0.2022 0.9530
0.3037 0.8195 0.2032
0.3164 0.3164 0.4825
0.6836 0.6836 0.5175
0.6963 0.1805 0.7968
0.7978 0.7978 0.0470
0.8195 0.3037 0.2032
0.0000 0.0000 0.5000
0.0000 0.0000 0.0000
0.0533 0.0533 0.7231
0.0550 0.6762 0.5292
0.1809 0.5662 0.0358
0.2150 0.2150 0.2202
0.2981 0.2981 0.7421
0.3238 0.9450 0.4708
0.4338 0.8191 0.9642
0.4799 0.4799 0.3303
0.5201 0.5201 0.6697
0.5662 0.1809 0.0358
0.6762 0.0550 0.5292
0.7019 0.7019 0.2579
0.7850 0.7850 0.7798
0.8191 0.4338 0.9642
0.9450 0.3238 0.4708
0.9467 0.9467 0.2769



Record 16
U8NiS17 | OQMD | PBE | optimized geometry; SG = C2/m; calculated total energy = -7.726 eV/atom; M_tot = 14.27 μB per cell
1.0
6.5719 -4.1200 0.0000
6.5719 4.1200 0.0000
-2.0893 0.0000 10.0388
U Ni S
8 1 17
Direct
0.1814 0.6976 0.7964
0.2025 0.2025 0.9533
0.3024 0.8186 0.2036
0.3160 0.3160 0.4821
0.6840 0.6840 0.5179
0.6976 0.1814 0.7964
0.7975 0.7975 0.0467
0.8186 0.3024 0.2036
0.0000 0.0000 0.5000
0.0000 0.0000 0.0000
0.0552 0.0552 0.7233
0.0556 0.6764 0.5298
0.1809 0.5662 0.0356
0.2142 0.2142 0.2202
0.2996 0.2996 0.7430
0.3236 0.9444 0.4702
0.4338 0.8191 0.9644
0.4789 0.4789 0.3304
0.5211 0.5211 0.6696
0.5662 0.1809 0.0356
0.6764 0.0556 0.5298
0.7004 0.7004 0.2570
0.7858 0.7858 0.7798
0.8191 0.4338 0.9644
0.9444 0.3236 0.4702
0.9448 0.9448 0.2767



Record 17
U3NiS6 | OQMD | PBE | optimized geometry; SG = Cmc2_1; calculated total energy = -7.688 eV/atom; M_tot = 12.07 μB per cell
1.0
5.2696 -6.4153 0.0000
5.2696 6.4153 0.0000
0.0000 0.0000 6.2207
U Ni S
6 2 12
Direct
0.1089 0.8911 0.5000
0.2253 0.4318 0.4025
0.4318 0.2253 0.9025
0.5682 0.7747 0.4025
0.7747 0.5682 0.9025
0.8911 0.1089 0.0000
0.3048 0.6952 0.8239
0.6952 0.3048 0.3239
0.0601 0.5938 0.6816
0.1308 0.1956 0.7009
0.1956 0.1308 0.2009
0.2736 0.7264 0.1964
0.4062 0.9399 0.6816
0.4670 0.5330 0.7085
0.5330 0.4670 0.2085
0.5938 0.0601 0.1816
0.7264 0.2736 0.6964
0.8044 0.8692 0.7009
0.8692 0.8044 0.2009
0.9399 0.4062 0.1816



Record 18
NiW2S5 | OQMD | PBE | optimized geometry; SG = Cmcm; calculated total energy = -7.011 eV/atom; M_tot = 0.01 μB per cell
1.0
1.6432 -6.3969 0.0000
1.6432 6.3969 0.0000
0.0000 0.0000 14.8254
Ni W S
2 4 10
Direct
0.1940 0.8060 0.7500
0.8060 0.1940 0.2500
0.2832 0.7168 0.1096
0.2832 0.7168 0.3904
0.7168 0.2832 0.6096
0.7168 0.2832 0.8904
0.0846 0.9154 0.6362
0.0846 0.9154 0.8638
0.1809 0.8191 0.2500
0.3432 0.6568 0.5511
0.3432 0.6568 0.9489
0.6568 0.3432 0.0511
0.6568 0.3432 0.4489
0.8191 0.1809 0.7500
0.9154 0.0846 0.1362
0.9154 0.0846 0.3638